[1]
MgSbAs2 | SCAN | single point on PBEsol structure

abc: 3.735 3.735 6.296
angles: 90.00 90.00 90.00
Element x y z (fractional)
Sb 0.500 0.500 0.709
As 0.500 0.500 0.199
As 0.000 0.000 0.086
Mg 0.000 0.000 0.506

The formation energy without anion corrections is 0.041 eV per atom. The calculation puts the energy above the most stable polymorph in this dataset at 252.7 meV per atom. Its density of states at the Fermi level is 0.4289 states/eV/atom. For the spin magnetization, the calculation gives 0.00 μB per formula unit. The total energy is -82.45 eV/cell. Its space group is P4mm.

[2]
CsCuSN2 | SCAN | single point on PBEsol structure

abc: 4.087 4.087 6.219
angles: 90.00 90.00 90.00
Element x y z (fractional)
Cs 0.000 0.000 0.000
S 0.000 0.000 0.500
N 0.000 0.500 0.000
N 0.500 0.000 0.000
Cu 0.500 0.500 0.500

The formation energy without anion corrections is 2.715 eV per atom. Its density of states at the Fermi level is 0.7169 states/eV/atom. For the spin magnetization, the calculation gives 1.44 μB per formula unit. The total energy is -67.65 eV/cell. Its space group is P4/mmm.

[3]
SbPbS2 | SCAN | single point on PBEsol structure

abc: 4.937 4.937 4.937
angles: 60.00 60.00 60.00
Element x y z (fractional)
Sb 0.000 0.000 0.000
S 0.750 0.750 0.750
S 0.250 0.250 0.250
Pb 0.500 0.500 0.500

The formation energy without anion corrections is 0.009 eV per atom. Its density of states at the Fermi level is 0.2544 states/eV/atom. For the spin magnetization, the calculation gives 0.00 μB per formula unit. The total energy is -132.26 eV/cell. Its space group is Fm-3m.

[4]
LaSc2TlRu | SCAN | single point on PBEsol structure

abc: 4.991 4.991 5.318
angles: 90.00 90.00 90.00
Element x y z (fractional)
Sc 0.500 0.000 0.000
Tl 0.500 0.500 0.500
Sc 0.000 0.500 0.000
La 0.000 0.000 0.500
Ru 0.000 0.000 0.000

For the energy relative to the elements, the calculation gives -0.284 eV/atom. Its density of states at the Fermi level is 0.9536 states/eV/atom. For the spin magnetization, the calculation gives 0.00 μB per formula unit. The total energy is -180.19 eV/cell. Its space group is P4/mmm.

[5]
Ba2ZnW | SCAN | single point on PBEsol structure

abc: 4.821 4.821 5.756
angles: 114.76 114.76 90.00
Element x y z (fractional)
Ba 0.000 0.000 0.000
W 0.500 0.500 0.000
Ba 0.750 0.250 0.500
Zn 0.250 0.750 0.500

For the energy relative to the elements, the calculation gives 1.211 eV/atom. Its density of states at the Fermi level is 1.0712 states/eV/atom. For the spin magnetization, the calculation gives 2.63 μB per formula unit. The total energy is -157.46 eV/cell. Its space group is I-4m2.

[6]
Ta3InO | SCAN | single point on PBEsol structure

abc: 4.260 4.260 4.260
angles: 90.00 90.00 90.00
Element x y z (fractional)
In 0.500 0.500 0.500
Ta 0.500 0.000 0.000
O 0.000 0.000 0.000
Ta 0.000 0.500 0.000
Ta 0.000 0.000 0.500

The formation energy without anion corrections is -0.471 eV per atom. Its density of states at the Fermi level is 0.6693 states/eV/atom. For the spin magnetization, the calculation gives 0.00 μB per formula unit. The total energy is -241.72 eV/cell. Its space group is Pm-3m.

[7]
LiNi2Ru | SCAN | single point on PBEsol structure

abc: 2.496 4.332 4.601
angles: 104.87 105.74 90.00
Element x y z (fractional)
Li 0.737 0.190 0.473
Ni 0.264 0.699 0.528
Ni 0.980 0.048 0.959
Ru 0.520 0.563 0.040

For the energy relative to the elements, the calculation gives 0.085 eV/atom. The calculation puts the energy above the most stable polymorph in this dataset at 39.5 meV per atom. Its density of states at the Fermi level is 0.9211 states/eV/atom. For the spin magnetization, the calculation gives 0.01 μB per formula unit. The total energy is -69.22 eV/cell. Its space group is Cm.

[8]
Li2Mg | SCAN | single point on PBEsol structure

abc: 3.084 3.084 15.080
angles: 90.00 90.00 120.00
Element x y z (fractional)
Li 0.667 0.333 0.754
Li 0.333 0.667 0.917
Mg 0.333 0.667 0.588
Li 0.667 0.333 0.083
Mg 0.667 0.333 0.412
Li 0.333 0.667 0.246

For the energy relative to the elements, the calculation gives -0.015 eV/atom. Its density of states at the Fermi level is 0.3798 states/eV/atom. For the spin magnetization, the calculation gives 0.10 μB per formula unit. The total energy is -19.60 eV/cell. Its space group is P-3m1.

[9]
NaTl2In2 | SCAN | single point on PBEsol structure

abc: 4.329 4.329 8.219
angles: 105.27 105.27 90.00
Element x y z (fractional)
In 0.250 0.750 0.500
Tl 0.398 0.398 0.797
In 0.750 0.250 0.500
Tl 0.602 0.602 0.203
Na 0.000 0.000 0.000

For the energy relative to the elements, the calculation gives -0.049 eV/atom. The calculation puts the energy above the most stable polymorph in this dataset at 0.0 meV per atom. Its density of states at the Fermi level is 0.4587 states/eV/atom. For the spin magnetization, the calculation gives 0.00 μB per formula unit. The total energy is -215.95 eV/cell. Its space group is I4/mmm.

[10]
FeAgPt2 | SCAN | single point on PBEsol structure

abc: 2.758 3.715 5.690
angles: 90.00 90.00 90.00
Element x y z (fractional)
Fe 0.500 0.500 0.500
Pt 0.000 0.000 0.265
Pt 0.000 0.000 0.735
Ag 0.500 0.500 0.000

For the energy relative to the elements, the calculation gives -0.198 eV/atom. Its density of states at the Fermi level is 0.4710 states/eV/atom. For the spin magnetization, the calculation gives 3.99 μB per formula unit. The total energy is -190.67 eV/cell. Its space group is Pmmm.

[11]
SrLiSb | SCAN | single point on PBEsol structure

abc: 4.478 4.646 4.646
angles: 120.00 90.00 90.00
Element x y z (fractional)
Sr 0.500 0.667 0.333
Sb 0.000 0.333 0.667
Li 0.000 0.000 0.000

The formation energy without anion corrections is -0.951 eV per atom. For the spin magnetization, the calculation gives 0.00 μB per formula unit. The total energy is -64.78 eV/cell. Its space group is P-6m2.

[12]
Fe4SiSe | SCAN | single point on PBEsol structure

abc: 4.696 4.696 4.696
angles: 60.00 60.00 60.00
Element x y z (fractional)
Fe 0.875 0.375 0.375
Se 0.750 0.750 0.750
Fe 0.375 0.875 0.375
Fe 0.375 0.375 0.375
Si 0.000 0.000 0.000
Fe 0.375 0.375 0.875

The formation energy without anion corrections is 0.358 eV per atom. Its density of states at the Fermi level is 0.6789 states/eV/atom. For the spin magnetization, the calculation gives 10.19 μB per formula unit. The total energy is -100.47 eV/cell. Its space group is F-43m.